Here is a relaxed structure of NaTbV2O8 from Alexandria via LeMat-Bulk. Energies are from GGA+U.

## Properties
- raw total energy (eV/atom) = -6.949

```
NaTbV2O8
1.0
5.869 0.000 0.000
-2.934 5.083 0.000
0.000 0.000 6.851
Tb V O Na
1 2 8 1
Cartesian
0.000 0.000 0.000
0.000 3.388 4.831
2.934 1.694 2.020
1.438 4.218 5.385
1.497 0.864 1.466
0.000 3.388 3.123
4.372 0.864 1.466
2.934 3.354 1.466
0.000 1.728 5.385
-1.438 4.218 5.385
2.934 1.694 3.728
0.000 0.000 3.426
```